A plane-wave DFT calculation with PBE was carried out for crystalline BeTlRe2 at its relaxed geometry.

Cell lengths 7.5830, 7.5830, 7.5830 Å; angles 23.63, 23.63, 23.63 degrees
Fractional positions:
Be (0.0000, 0.0000, 0.0000)
Tl (0.5000, 0.5000, 0.5000)
Re (0.2748, 0.2748, 0.2748)
Re (0.7252, 0.7252, 0.7252)

Mass density in g/cm³: 15.81
Energy above the lowest structure with this stoichiometry in eV per atom: 0.479
Space-group type: R-3m, No. 166
DOS at the Fermi energy in states/eV per cell: 4.63

---

A plane-wave DFT calculation with PBE was carried out for crystalline Be2TlRe at its relaxed geometry.

Cell lengths 3.1070, 3.1419, 5.8120 Å; angles 90.00, 90.00, 90.00 degrees
Fractional positions:
Be (0.0000, 0.0000, 0.1746)
Be (0.0000, 0.0000, 0.8254)
Tl (0.5000, 0.5000, 0.5000)
Re (0.5000, 0.5000, 0.0000)

Mass density in g/cm³: 11.96
Energy above the lowest structure with this stoichiometry in eV per atom: 0.000
Space-group type: Pmmm, No. 47
DOS at the Fermi energy in states/eV per cell: 1.56

---

A plane-wave DFT calculation with PBE was carried out for crystalline BeTlRe2 at its relaxed geometry.

Cell lengths 5.1206, 5.1206, 5.1206 Å; angles 136.43, 136.43, 63.32 degrees
Fractional positions:
Be (0.0000, 0.0000, 0.0000)
Tl (0.5000, 0.5000, 0.0000)
Re (0.2500, 0.7500, 0.5000)
Re (0.7500, 0.2500, 0.5000)

Mass density in g/cm³: 15.45
Energy above the lowest structure with this stoichiometry in eV per atom: 0.668
Space-group type: I4/mmm, No. 139
DOS at the Fermi energy in states/eV per cell: 4.28